[1]
Computed, not measured: a geometry-optimized In2CuSn structure at the PBE level of DFT.

As for the electronic total energy: -3.3228 eV per atom. The density of states at the Fermi level comes out at 3.19 states/eV/cell. Its energy relative to the lowest polymorph listed for this composition is 0 meV/atom. As for the energy of formation: 0.07 eV/atom.

The structure belongs to space group P2_1/m (No. 11); the cell edges are 4.243, 8.652 and 5.249 Å and the angles 90.00°, 108.79° and 90.00°. Symmetry generates all atoms from In at (0.161, 0.052, 0.287), Cu at (0.239, 0.750, 0.527) and Sn at (0.467, 0.250, 0.890).

[2]
Computed, not measured: a geometry-optimized In2CuSn structure at the PBE level of DFT.

As for the electronic total energy: -3.2899 eV per atom. The density of states at the Fermi level comes out at 1.88 states/eV/cell. Its energy relative to the lowest polymorph listed for this composition is 33 meV/atom. As for the energy of formation: 0.10 eV/atom.

The structure belongs to space group P4/mmm (No. 123); the cell edges are 3.318, 3.318 and 8.175 Å and the angles 90.00°, 90.00° and 90.00°. Symmetry generates all atoms from In at (0.000, 0.000, 0.202), Cu at (0.500, 0.500, 0.000) and Sn at (0.500, 0.500, 0.500).

[3]
Computed, not measured: a geometry-optimized InCu2Sn2 structure at the PBE level of DFT.

As for the electronic total energy: -3.6897 eV per atom. The density of states at the Fermi level comes out at 4.01 states/eV/cell. As for the energy of formation: 0.10 eV/atom.

The structure belongs to space group P4/mbm (No. 127); the cell edges are 7.148, 7.148 and 4.004 Å and the angles 90.00°, 90.00° and 90.00°. Symmetry generates all atoms from In at (0.000, 0.000, 0.000), Cu at (0.125, 0.375, 0.000) and Sn at (0.168, 0.668, 0.500).

Question: Among the records above, which one has the highest electronic total energy?
Answer: number 2